Record 1
Below is a relaxed structure of AgB, with properties calculated at the PBE level.

Values from the calculation:
Mass density   6.12 Mg/m³
Space group   F-43m (216)
Crystal system   cubic
Energy above the most stable polymorph in this dataset   0.156 eV/atom

Cell lengths 3.570, 3.570, 3.570 Å; angles 60.00, 60.00, 60.00 degrees
Fractional coordinates of all 2 atoms:
B (0.250, 0.250, 0.250)
Ag (0.000, 0.000, 0.000)

***

Record 2
Below is a relaxed structure of CuB4W, with properties calculated at the PBE level.

Values from the calculation:
Mass density   9.25 Mg/m³
Space group   Immm (71)
Crystal system   orthorhombic
Energy above the most stable polymorph in this dataset   0.031 eV/atom
Total moment   0.0 μB/cell

Cell lengths 4.484, 4.484, 4.484 Å; angles 140.83, 108.60, 84.59 degrees
Fractional coordinates of all 6 atoms:
B (0.582, 0.249, 0.334)
B (0.085, 0.751, 0.334)
B (0.418, 0.751, 0.666)
B (0.915, 0.249, 0.666)
W (0.500, 0.500, 0.000)
Cu (0.000, 0.000, 0.000)